--- P ---
First-principles (meta-GGA SCAN) data for a PBEsol-optimized structure of BeAgBr, as listed in the Alexandria database.

Cell lengths 6.247, 6.247, 6.247 Å; angles 151.70, 151.70, 40.45 degrees
Element x y z (fractional)
Be 0.000 0.000 0.000
Ag 0.377 0.377 0.000
Br 0.620 0.620 0.000

---

--- Q ---
First-principles (meta-GGA SCAN) data for a PBEsol-optimized structure of BeAgBr, as listed in the Alexandria database.

Cell lengths 4.441, 4.441, 4.441 Å; angles 60.00, 60.00, 60.00 degrees
Element x y z (fractional)
Be 0.000 0.000 0.000
Ag 0.250 0.250 0.250
Br 0.500 0.500 0.500

---

Stability, lowest: Q

---

--- P ---
First-principles (meta-GGA SCAN) data for a PBEsol-optimized structure of BeCdAg2, as listed in the Alexandria database.

Cell lengths 2.854, 3.897, 5.693 Å; angles 90.00, 101.93, 90.00 degrees
Element x y z (fractional)
Be 0.000 0.000 0.000
Cd 0.000 0.000 0.500
Ag 0.385 0.500 0.220
Ag 0.615 0.500 0.780

---

--- Q ---
First-principles (meta-GGA SCAN) data for a PBEsol-optimized structure of BeCdAg2, as listed in the Alexandria database.

Cell lengths 4.449, 4.449, 4.449 Å; angles 60.00, 60.00, 60.00 degrees
Element x y z (fractional)
Be 0.000 0.000 0.000
Cd 0.500 0.500 0.500
Ag 0.250 0.250 0.250
Ag 0.750 0.750 0.750

---

--- R ---
First-principles (meta-GGA SCAN) data for a PBEsol-optimized structure of BeCdAg2, as listed in the Alexandria database.

Cell lengths 4.423, 4.423, 3.192 Å; angles 90.00, 90.00, 90.00 degrees
Element x y z (fractional)
Be 0.000 0.000 0.000
Cd 0.500 0.500 0.000
Ag 0.000 0.500 0.500
Ag 0.500 0.000 0.500

---

--- S ---
First-principles (meta-GGA SCAN) data for a PBEsol-optimized structure of BeCdAg2, as listed in the Alexandria database.

Cell lengths 5.186, 5.186, 4.559 Å; angles 115.12, 115.12, 33.80 degrees
Element x y z (fractional)
Be 0.000 0.000 0.000
Cd 0.500 0.500 0.500
Ag 0.287 0.287 0.786
Ag 0.713 0.713 0.214

---

Stability, lowest: R

---

--- P ---
First-principles (meta-GGA SCAN) data for a PBEsol-optimized structure of BeTl2AgCl, as listed in the Alexandria database.

Cell lengths 5.445, 5.445, 4.419 Å; angles 90.00, 90.00, 90.00 degrees
Element x y z (fractional)
Be 0.000 0.000 0.000
Tl 0.000 0.500 0.500
Tl 0.500 0.000 0.500
Ag 0.000 0.000 0.500
Cl 0.500 0.500 0.000

---

--- Q ---
First-principles (meta-GGA SCAN) data for a PBEsol-optimized structure of BeTl2AgCl, as listed in the Alexandria database.

Cell lengths 5.050, 5.050, 4.486 Å; angles 90.00, 90.00, 90.00 degrees
Element x y z (fractional)
Be 0.000 0.000 0.000
Tl 0.000 0.500 0.000
Tl 0.500 0.000 0.000
Ag 0.000 0.000 0.500
Cl 0.500 0.500 0.500

---

Stability, lowest: P

---

--- P ---
First-principles (meta-GGA SCAN) data for a PBEsol-optimized structure of BeCoAg, as listed in the Alexandria database.

Cell lengths 3.893, 3.893, 3.893 Å; angles 60.00, 60.00, 60.00 degrees
Element x y z (fractional)
Be 0.000 0.000 0.000
Co 0.750 0.750 0.750
Ag 0.500 0.500 0.500

---

--- Q ---
First-principles (meta-GGA SCAN) data for a PBEsol-optimized structure of BeCoAg, as listed in the Alexandria database.

Cell lengths 3.951, 3.951, 2.610 Å; angles 90.00, 90.00, 120.00 degrees
Element x y z (fractional)
Be 0.000 0.000 0.000
Co 0.333 0.667 0.867
Ag 0.667 0.333 0.398

---

--- R ---
First-principles (meta-GGA SCAN) data for a PBEsol-optimized structure of BeCoAg, as listed in the Alexandria database.

Cell lengths 5.083, 5.083, 5.083 Å; angles 149.40, 149.40, 43.82 degrees
Element x y z (fractional)
Be 0.000 0.000 0.000
Co 0.618 0.618 0.000
Ag 0.321 0.321 0.000

---

Stability, lowest: P

---

--- P ---
First-principles (meta-GGA SCAN) data for a PBEsol-optimized structure of Be2CuAg, as listed in the Alexandria database.

Cell lengths 3.967, 3.967, 2.784 Å; angles 90.00, 90.00, 90.00 degrees
Element x y z (fractional)
Be 0.000 0.500 0.000
Be 0.500 0.000 0.000
Cu 0.000 0.000 0.500
Ag 0.500 0.500 0.500

---

--- Q ---
First-principles (meta-GGA SCAN) data for a PBEsol-optimized structure of Be2CuAg, as listed in the Alexandria database.

Cell lengths 2.730, 2.730, 5.855 Å; angles 90.00, 90.00, 90.00 degrees
Element x y z (fractional)
Be 0.000 0.000 0.000
Be 0.500 0.500 0.195
Cu 0.000 0.000 0.401
Ag 0.500 0.500 0.734

---

Stability, lowest: Q

---

--- P ---
First-principles (meta-GGA SCAN) data for a PBEsol-optimized structure of BeAgSbI2, as listed in the Alexandria database.

Cell lengths 5.127, 5.127, 4.665 Å; angles 90.00, 90.00, 90.00 degrees
Element x y z (fractional)
Be 0.000 0.000 0.000
Ag 0.000 0.000 0.500
Sb 0.500 0.500 0.500
I 0.000 0.500 0.000
I 0.500 0.000 0.000

---

--- Q ---
First-principles (meta-GGA SCAN) data for a PBEsol-optimized structure of BeAgSbI2, as listed in the Alexandria database.

Cell lengths 5.519, 5.519, 5.374 Å; angles 90.00, 90.00, 90.00 degrees
Element x y z (fractional)
Be 0.000 0.000 0.000
Ag 0.500 0.500 0.500
Sb 0.500 0.500 0.000
I 0.000 0.500 0.500
I 0.500 0.000 0.500

---

Stability, lowest: Q

---

--- P ---
First-principles (meta-GGA SCAN) data for a PBEsol-optimized structure of Be2AgPt, as listed in the Alexandria database.

Cell lengths 4.052, 4.052, 4.052 Å; angles 60.00, 60.00, 60.00 degrees
Element x y z (fractional)
Be 0.250 0.250 0.250
Be 0.750 0.750 0.750
Ag 0.000 0.000 0.000
Pt 0.500 0.500 0.500

---

--- Q ---
First-principles (meta-GGA SCAN) data for a PBEsol-optimized structure of Be2AgPt, as listed in the Alexandria database.

Cell lengths 4.974, 4.974, 4.974 Å; angles 147.35, 133.17, 58.26 degrees
Element x y z (fractional)
Be 0.000 0.000 0.000
Be 0.758 0.258 0.500
Ag 0.498 0.498 0.000
Pt 0.221 0.721 0.500

---

--- R ---
First-principles (meta-GGA SCAN) data for a PBEsol-optimized structure of Be2AgPt, as listed in the Alexandria database.

Cell lengths 4.836, 4.836, 4.836 Å; angles 138.87, 138.87, 59.57 degrees
Element x y z (fractional)
Be 0.000 0.000 0.000
Be 0.750 0.250 0.500
Ag 0.250 0.750 0.500
Pt 0.500 0.500 0.000

---

Stability, lowest: R

---

--- P ---
First-principles (meta-GGA SCAN) data for a PBEsol-optimized structure of BeAgSb3, as listed in the Alexandria database.

Cell lengths 5.248, 5.248, 5.248 Å; angles 90.00, 90.00, 90.00 degrees
Element x y z (fractional)
Be 0.000 0.000 0.000
Ag 0.500 0.500 0.500
Sb 0.000 0.500 0.500
Sb 0.500 0.000 0.500
Sb 0.500 0.500 0.000

---

--- Q ---
First-principles (meta-GGA SCAN) data for a PBEsol-optimized structure of BeAgSb3, as listed in the Alexandria database.

Cell lengths 4.857, 4.857, 4.857 Å; angles 90.00, 90.00, 90.00 degrees
Element x y z (fractional)
Be 0.000 0.000 0.000
Ag 0.500 0.500 0.500
Sb 0.000 0.000 0.500
Sb 0.000 0.500 0.000
Sb 0.500 0.000 0.000

---

Stability, lowest: P

---

--- P ---
First-principles (meta-GGA SCAN) data for a PBEsol-optimized structure of ScBeAg2, as listed in the Alexandria database.

Cell lengths 2.997, 2.997, 6.923 Å; angles 90.00, 90.00, 90.00 degrees
Element x y z (fractional)
Sc 0.000 0.000 0.000
Be 0.000 0.000 0.500
Ag 0.500 0.500 0.298
Ag 0.500 0.500 0.702

---

--- Q ---
First-principles (meta-GGA SCAN) data for a PBEsol-optimized structure of ScBeAg2, as listed in the Alexandria database.

Cell lengths 5.404, 5.404, 2.874 Å; angles 103.42, 103.42, 118.41 degrees
Element x y z (fractional)
Sc 0.000 0.000 0.000
Be 0.500 0.500 0.000
Ag 0.000 0.500 0.500
Ag 0.500 0.000 0.500

---

Stability, lowest: Q

---

--- P ---
First-principles (meta-GGA SCAN) data for a PBEsol-optimized structure of Sc2BeAg, as listed in the Alexandria database.

Cell lengths 4.649, 4.649, 4.649 Å; angles 60.00, 60.00, 60.00 degrees
Element x y z (fractional)
Sc 0.250 0.250 0.250
Sc 0.750 0.750 0.750
Be 0.000 0.000 0.000
Ag 0.500 0.500 0.500

---

--- Q ---
First-principles (meta-GGA SCAN) data for a PBEsol-optimized structure of Sc2BeAg, as listed in the Alexandria database.

Cell lengths 3.235, 3.235, 6.606 Å; angles 90.00, 90.00, 90.00 degrees
Element x y z (fractional)
Sc 0.000 0.000 0.227
Sc 0.000 0.000 0.773
Be 0.500 0.500 0.000
Ag 0.500 0.500 0.500

---

Stability, lowest: P

---

--- P ---
First-principles (meta-GGA SCAN) data for a PBEsol-optimized structure of BeAg2Se, as listed in the Alexandria database.

Cell lengths 3.228, 3.228, 6.091 Å; angles 90.00, 90.00, 90.00 degrees
Element x y z (fractional)
Be 0.000 0.000 0.000
Ag 0.000 0.000 0.464
Ag 0.500 0.500 0.728
Se 0.500 0.500 0.150

---

--- Q ---
First-principles (meta-GGA SCAN) data for a PBEsol-optimized structure of BeAg2Se, as listed in the Alexandria database.

Cell lengths 4.098, 4.098, 5.978 Å; angles 100.45, 100.45, 41.32 degrees
Element x y z (fractional)
Be 0.000 0.000 0.000
Ag 0.268 0.268 0.803
Ag 0.732 0.732 0.197
Se 0.500 0.500 0.500

---

Stability, lowest: Q

---

--- P ---
First-principles (meta-GGA SCAN) data for a PBEsol-optimized structure of BeSiAg2, as listed in the Alexandria database.

Cell lengths 4.604, 4.604, 2.836 Å; angles 90.00, 90.00, 107.74 degrees
Element x y z (fractional)
Be 0.000 0.000 0.000
Si 0.500 0.500 0.000
Ag 0.000 0.500 0.500
Ag 0.500 0.000 0.500

---

--- Q ---
First-principles (meta-GGA SCAN) data for a PBEsol-optimized structure of BeSiAg2, as listed in the Alexandria database.

Cell lengths 2.964, 3.533, 5.373 Å; angles 90.00, 90.00, 90.00 degrees
Element x y z (fractional)
Be 0.000 0.000 0.000
Si 0.500 0.500 0.239
Ag 0.000 0.000 0.477
Ag 0.500 0.500 0.781

---

Stability, lowest: P

---

--- P ---
First-principles (meta-GGA SCAN) data for a PBEsol-optimized structure of AgBi2Se2, as listed in the Alexandria database.

Cell lengths 8.029, 8.029, 4.000 Å; angles 90.00, 90.00, 90.00 degrees
Element x y z (fractional)
Ag 0.000 0.000 0.000
Ag 0.500 0.500 0.000
Bi 0.180 0.320 0.000
Bi 0.320 0.820 0.000
Bi 0.680 0.180 0.000
Bi 0.820 0.680 0.000
Se 0.145 0.645 0.500
Se 0.355 0.145 0.500
Se 0.645 0.855 0.500
Se 0.855 0.355 0.500

---

--- Q ---
First-principles (meta-GGA SCAN) data for a PBEsol-optimized structure of AgBi2Se2, as listed in the Alexandria database.

Cell lengths 5.970, 5.970, 5.970 Å; angles 122.59, 122.59, 85.57 degrees
Element x y z (fractional)
Ag 0.000 0.000 0.000
Bi 0.316 0.316 0.000
Bi 0.684 0.684 0.000
Se 0.250 0.750 0.500
Se 0.750 0.250 0.500

---

Stability, lowest: Q